Entry 1:
CdSn2Ru2 | GGA-PBE | optimized geometry

a b c (Å): 4.2346 4.2346 11.5650
angles (deg): 90.00 90.00 90.00
With the nearest neighbours (Å) after each atom.
Space group I4/mmm (No. 139)
Inequivalent atoms, fractional coordinates:
Cd  0.0000  0.0000  0.0000 (multiplicity 2)  8 Ru 3.24, 8 Sn 3.58
Sn  0.0000  0.5000  0.2500 (multiplicity 4)  4 Ru 2.68, 4 Sn 2.99
Ru  0.0000  0.0000  0.3922 (multiplicity 4)  1 Ru 2.49, 4 Sn 2.68

Fermi-level density of states = 1.004 states/eV per atom
excess energy over the best structure of this formula in the dataset = 0.299 eV/atom
mass density = 8.84 g/cm³
size of the total moment = 0.000 μB per atom
ΔH_f (0 K) = 0.243 eV/atom

Entry 2:
LiLaCl | GGA-PBE | optimized geometry

a b c (Å): 3.6069 3.6069 7.0228
angles (deg): 90.00 90.00 120.00
With the nearest neighbours (Å) after each atom.
Space group P3m1 (No. 156)
Inequivalent atoms, fractional coordinates:
Li  0.0000  0.0000  0.0000 (multiplicity 1)  3 Cl 2.56
La  0.6667  0.3333  0.5381 (multiplicity 1)  3 Cl 3.10
Cl  0.3333  0.6667  0.2116 (multiplicity 1)  3 Li 2.56

Fermi-level density of states = 1.066 states/eV per atom
excess energy over the best structure of this formula in the dataset = 0.000 eV/atom
mass density = 3.80 g/cm³
size of the total moment = 0.202 μB per atom
uncorrected formation energy = -0.934 eV per atom

Entry 3:
Ba2TcSbC | GGA-PBE | optimized geometry

a b c (Å): 6.1833 6.1833 3.8884
angles (deg): 90.00 90.00 90.00
With the nearest neighbours (Å) after each atom.
Space group P4/mmm (No. 123)
Inequivalent atoms, fractional coordinates:
Ba  0.0000  0.5000  0.0000 (multiplicity 2)  2 Tc 3.09
Tc  0.0000  0.0000  0.0000 (multiplicity 1)  2 C 1.94
Sb  0.5000  0.5000  0.5000 (multiplicity 1)  8 Ba 3.65, 2 Sb 3.89
C  0.0000  0.0000  0.5000 (multiplicity 1)  2 Tc 1.94

Fermi-level density of states = 1.014 states/eV per atom
mass density = 5.66 g/cm³
size of the total moment = 0.000 μB per atom
uncorrected formation energy = 0.341 eV per atom

Entry 4:
Cr2NiI | GGA-PBE | optimized geometry

a b c (Å): 6.0446 6.0446 6.0446
angles (deg): 90.00 90.00 90.00
With the nearest neighbours (Å) after each atom.
Space group Fm-3m (No. 225)
Inequivalent atoms, fractional coordinates:
Cr  0.2500  0.2500  0.2500 (multiplicity 8)  4 Ni 2.62, 4 I 2.62
Ni  0.0000  0.0000  0.0000 (multiplicity 4)  8 Cr 2.62
I  0.0000  0.0000  0.5000 (multiplicity 4)  8 Cr 2.62

Fermi-level density of states = 1.314 states/eV per atom
excess energy over the best structure of this formula in the dataset = 0.000 eV/atom
mass density = 8.71 g/cm³
size of the total moment = 0.000 μB per atom
uncorrected formation energy = 0.888 eV per atom

Entry 5:
Zn3CuNi8 | GGA-PBE | optimized geometry

a b c (Å): 8.4903 8.4903 5.1743
angles (deg): 90.00 90.00 90.00
With the nearest neighbours (Å) after each atom.
Space group I4/mmm (No. 139)
Inequivalent atoms, fractional coordinates:
Zn  0.0000  0.0000  0.0000 (multiplicity 2)  8 Ni 2.32, 2 Cu 2.59
Zn  0.0000  0.5000  0.2500 (multiplicity 4)  2 Zn 2.59
Cu  0.0000  0.0000  0.5000 (multiplicity 2)  8 Ni 2.30
Ni  0.1596  0.1596  0.2527 (multiplicity 16)  1 Ni 2.17, 1 Cu 2.30, 1 Zn 2.32

Fermi-level density of states = 1.761 states/eV per atom
mass density = 6.49 g/cm³
size of the total moment = 0.363 μB per atom
ΔH_f (0 K) = 0.725 eV/atom

Entry 6:
RbNaMgPb | GGA-PBE | optimized geometry

a b c (Å): 5.5333 5.5289 9.6644
angles (deg): 90.00 90.14 90.00
With the nearest neighbours (Å) after each atom.
Space group Cm (No. 8)
Inequivalent atoms, fractional coordinates:
Rb  0.0000  0.0000  0.0000 (multiplicity 2)  4 Pb 3.88-3.89, 4 Rb 3.91, 1 Mg 4.21
Na  0.0022  0.5000  0.6468 (multiplicity 2)  4 Mg 3.42-3.45, 1 Pb 3.53
Mg  0.0039  0.0000  0.4361 (multiplicity 2)  4 Pb 3.14-3.15, 4 Na 3.42-3.45
Pb  0.0024  0.5000  0.2819 (multiplicity 2)  4 Mg 3.14-3.15

Fermi-level density of states = 0.518 states/eV per atom
excess energy over the best structure of this formula in the dataset = 0.023 eV/atom
mass density = 3.82 g/cm³
size of the total moment = 0.000 μB per atom
ΔH_f (0 K) = 0.006 eV/atom

Entry 7:
Sm2PaSe5 | GGA-PBE | optimized geometry

a b c (Å): 12.5263 8.3495 7.8311
angles (deg): 90.00 90.00 90.00
With the nearest neighbours (Å) after each atom.
Space group Pnma (No. 62)
Inequivalent atoms, fractional coordinates:
Sm  0.1795  0.0025  0.0215 (multiplicity 8)  8 Se 2.99-3.19
Pa  0.0067  0.7500  0.5752 (multiplicity 4)  7 Se 2.80-2.99
Se  0.0000  0.2500  0.0434 (multiplicity 4)  1 Pa 2.99, 4 Sm 3.06-3.12
Se  0.0993  0.0440  0.6640 (multiplicity 8)  2 Pa 2.80-2.87, 2 Sm 2.99-3.01
Se  0.1825  0.7500  0.3265 (multiplicity 4)  1 Pa 2.94, 4 Sm 3.10-3.19
Se  0.2150  0.2500  0.3018 (multiplicity 4)  1 Pa 2.94, 4 Sm 3.03-3.05

Fermi-level density of states = 0.704 states/eV per atom
excess energy over the best structure of this formula in the dataset = 0.000 eV/atom
mass density = 7.51 g/cm³
size of the total moment = 0.113 μB per atom
uncorrected formation energy = -1.690 eV per atom

Entry 8:
Sm4HgRh2 | GGA-PBE | optimized geometry

a b c (Å): 7.1143 7.1177 8.5917
angles (deg): 107.73 107.68 105.37
With the nearest neighbours (Å) after each atom.
Space group P1 (No. 1)
Inequivalent atoms, fractional coordinates:
Sm  0.0000  0.0000  0.0000 (multiplicity 1)  3 Rh 2.76-3.02, 1 Hg 3.05
Sm  0.0209  0.0514  0.5627 (multiplicity 1)  3 Rh 2.86-3.01, 1 Hg 3.13
Sm  0.1437  0.6419  0.2858 (multiplicity 1)  3 Rh 2.76-3.02, 1 Hg 3.05
Sm  0.4205  0.5937  0.6992 (multiplicity 1)  3 Rh 2.83-3.04, 1 Hg 3.11
Sm  0.5420  0.3929  0.1203 (multiplicity 1)  3 Rh 2.78-3.10
Sm  0.5633  0.9154  0.1657 (multiplicity 1)  3 Rh 2.78-3.11
Sm  0.6003  0.1311  0.7218 (multiplicity 1)  3 Rh 2.86-3.01, 1 Hg 3.14
Sm  0.8651  0.5379  0.5879 (multiplicity 1)  3 Rh 2.83-3.03, 1 Hg 3.11
Hg  0.1118  0.4474  0.9045 (multiplicity 1)  1 Rh 3.02, 6 Sm 3.05-3.36
Hg  0.3501  0.1879  0.3812 (multiplicity 1)  1 Rh 3.02, 6 Sm 3.05-3.36
Rh  0.2843  0.9272  0.8238 (multiplicity 1)  7 Sm 2.83-3.10
Rh  0.6034  0.7455  0.4621 (multiplicity 1)  7 Sm 2.83-3.11
Rh  0.7739  0.5998  0.9699 (multiplicity 1)  5 Sm 2.76-3.02, 1 Hg 3.02
Rh  0.9457  0.2725  0.3159 (multiplicity 1)  5 Sm 2.76-3.02, 1 Hg 3.02

Fermi-level density of states = 0.855 states/eV per atom
excess energy over the best structure of this formula in the dataset = 0.000 eV/atom
mass density = 9.22 g/cm³
size of the total moment = 0.000 μB per atom
ΔH_f (0 K) = -0.562 eV/atom

Entry 9:
Ti6FeCo2 | GGA-PBE | optimized geometry

a b c (Å): 7.9677 8.0010 8.3306
angles (deg): 90.00 90.00 90.00
With the nearest neighbours (Å) after each atom.
Space group Immm (No. 71)
Inequivalent atoms, fractional coordinates:
Ti  0.0000  0.1797  0.2264 (multiplicity 8)  3 Co 2.64-2.66, 1 Fe 2.70, 5 Ti 2.88-2.95
Ti  0.1747  0.5000  0.2803 (multiplicity 8)  3 Co 2.33-2.59
Ti  0.2499  0.1908  0.5000 (multiplicity 8)  2 Co 2.37-2.61, 2 Fe 2.51
Fe  0.0000  0.0000  0.5000 (multiplicity 2)  8 Ti 2.51-2.70
Fe  0.0000  0.5000  0.0000 (multiplicity 2)  8 Ti 2.51-2.72
Co  0.0000  0.3515  0.5000 (multiplicity 4)  6 Ti 2.37-2.59, 1 Co 2.38
Co  0.1445  0.0000  0.0000 (multiplicity 4)  1 Co 2.30, 2 Ti 2.33

Fermi-level density of states = 1.195 states/eV per atom
mass density = 5.76 g/cm³
size of the total moment = 0.000 μB per atom
ΔH_f (0 K) = -0.226 eV/atom

Entry 10:
Er3Cr5N12 | GGA-PBE | optimized geometry

a b c (Å): 12.2089 12.2089 12.2089
angles (deg): 90.00 90.00 90.00
With the nearest neighbours (Å) after each atom.
Space group Ia-3d (No. 230)
Inequivalent atoms, fractional coordinates:
Er  0.0000  0.2500  0.1250 (multiplicity 24)  8 N 2.39-2.50
Cr  0.0000  0.0000  0.0000 (multiplicity 16)  6 N 1.97
Cr  0.0000  0.2500  0.3750 (multiplicity 24)  4 N 1.75
N  0.0356  0.0496  0.6498 (multiplicity 96)  1 Cr 1.75

Fermi-level density of states = 0.341 states/eV per atom
mass density = 6.79 g/cm³
size of the total moment = 0.150 μB per atom
uncorrected formation energy = -0.656 eV per atom

Entry 11:
La2HfCd | GGA-PBE | optimized geometry

a b c (Å): 3.4776 3.4776 9.6580
angles (deg): 90.00 90.00 90.00
With the nearest neighbours (Å) after each atom.
Space group P4/mmm (No. 123)
Inequivalent atoms, fractional coordinates:
La  0.0000  0.0000  0.2488 (multiplicity 2)  4 Hf 3.44, 4 Cd 3.45, 4 La 3.48
Hf  0.5000  0.5000  0.0000 (multiplicity 1)  8 La 3.44, 4 Hf 3.48
Cd  0.5000  0.5000  0.5000 (multiplicity 1)  8 La 3.45, 4 Cd 3.48

Fermi-level density of states = 1.311 states/eV per atom
mass density = 8.09 g/cm³
size of the total moment = 0.000 μB per atom
ΔH_f (0 K) = -0.006 eV/atom

Entry 12:
CsZnH2Pb | GGA-PBE | optimized geometry

a b c (Å): 4.4817 4.4817 7.8118
angles (deg): 90.00 90.00 90.00
With the nearest neighbours (Å) after each atom.
Space group P4/mmm (No. 123)
Inequivalent atoms, fractional coordinates:
Cs  0.0000  0.0000  0.0000 (multiplicity 1)  4 H 2.24
Zn  0.0000  0.0000  0.5000 (multiplicity 1)  4 Pb 3.17
H  0.0000  0.5000  0.0000 (multiplicity 2)  2 Cs 2.24
Pb  0.5000  0.5000  0.5000 (multiplicity 1)  4 Zn 3.17

Fermi-level density of states = 0.688 states/eV per atom
mass density = 4.31 g/cm³
size of the total moment = 0.000 μB per atom
E_tot = -1.615 eV/atom

What is the mass density in the eighth record? 9.22 g/cm³